First-principles (GGA+U) data for a relaxed MnHgMoF6 crystal, as listed in the Alexandria database.

Output
Final energy   -5.088 eV/atom
Total magnetic moment   7.1 μB per formula unit

Lattice parameters (Å, degrees): 5.7676 5.7676 11.1479 90.00 90.00 120.00
Closest atoms and distances in Å follow each position.
Fractional coordinates of all 18 atoms:
Mn 0.3333 0.6667 0.2500  6 F 2.15
Mn 0.6667 0.3333 0.7500  6 F 2.15
Hg 0.0000 0.0000 0.0000  6 F 2.73
Hg 0.0000 0.0000 0.5000  6 F 2.73
Mo 0.6667 0.3333 0.2500  6 F 2.11
Mo 0.3333 0.6667 0.7500  6 F 2.11
F 0.6321 0.6259 0.1513  1 Mo 2.11, 1 Mn 2.15
F 0.9938 0.3679 0.1513  1 Mo 2.11, 1 Mn 2.15
F 0.3679 0.9938 0.6513  1 Mo 2.11, 1 Mn 2.15
F 0.0062 0.6321 0.8487  1 Mo 2.11, 1 Mn 2.15
F 0.3741 0.3679 0.3487  1 Mo 2.11, 1 Mn 2.15
F 0.9938 0.6259 0.3487  1 Mo 2.11, 1 Mn 2.15
F 0.6259 0.9938 0.8487  1 Mo 2.11, 1 Mn 2.15
F 0.6321 0.0062 0.3487  1 Mo 2.11, 1 Mn 2.15
F 0.0062 0.3741 0.6513  1 Mo 2.11, 1 Mn 2.15
F 0.3741 0.0062 0.1513  1 Mo 2.11, 1 Mn 2.15
F 0.6259 0.6321 0.6513  1 Mo 2.11, 1 Mn 2.15
F 0.3679 0.3741 0.8487  1 Mo 2.11, 1 Mn 2.15